[1]
Ga2FeIrBr | SCAN | PBEsol geometry

a = 4.3638 Å, b = 4.5354 Å, c = 4.5354 Å
α = 90.00°, β = 90.00°, γ = 90.00°
Last column: nearest neighbours and their distance in Å.
Fractional positions:
Ir  0.5000  0.5000  0.5000  8 Ga 3.15, 4 Br 3.21
Ga  0.0000  0.0000  0.5000  2 Fe 2.27
Ga  0.0000  0.5000  0.0000  2 Fe 2.27
Fe  0.0000  0.0000  0.0000  2 Br 2.18, 4 Ga 2.27
Br  0.5000  0.0000  0.0000  2 Fe 2.18

Results
- formation energy (no corrections) (eV/f.u.) = 5.90
- M_tot (μB per formula unit) = 0.0
- V (Å³/atom) = 17.952



[2]
RePtSe | SCAN | PBEsol geometry

a = 2.9241 Å, b = 2.9241 Å, c = 6.3569 Å
α = 90.00°, β = 90.00°, γ = 120.00°
Last column: nearest neighbours and their distance in Å.
Fractional positions:
Pt  0.0000  0.0000  0.9881  3 Re 2.73, 3 Se 2.92, 6 Pt 2.92
Se  0.6667  0.3333  0.3621  3 Re 2.49
Re  0.3333  0.6667  0.6498  3 Se 2.49, 3 Pt 2.73

Results
- formation energy (no corrections) (eV/f.u.) = 0.87
- M_tot (μB per formula unit) = 0.0
- V (Å³/atom) = 15.690



Look up the M_tot of the second one. 0.0 μB per formula unit